# CrPd2F8

A relaxed structure of CrPd2F8 (GGA+U, the Alexandria database).

Output
Calculated volume in Å³ per atom: 12.33
Spin magnetization in μB/atom: 0.262
Electronic total energy in eV/cell: -50.71
D(E_F) in states/eV/f.u.: 1.85

abc: 4.1584 6.9705 5.8925
angles: 126.24 82.00 89.98
Fractional positions:
Cr (0.0000, 0.0000, 0.0000)
Pd (0.1429, 0.3684, 0.7367)
Pd (0.8571, 0.6316, 0.2633)
F (0.3513, 0.6352, 0.2689)
F (0.6487, 0.3648, 0.7311)
F (0.8158, 0.9122, 0.2536)
F (0.3051, 0.1318, 0.2635)
F (0.1845, 0.6585, 0.7461)
F (0.1842, 0.0878, 0.7464)
F (0.6949, 0.8682, 0.7365)
F (0.8155, 0.3415, 0.2539)